The following is a DFT calculation (PBE) of a relaxed Na2PuSe2S crystal.

Structure (extended XYZ):
```
12
Lattice="3.585 -6.178 0.000 3.585 6.178 0.000 -2.417 0.000 6.759" Properties=species:S:1:pos:R:3 pbc="T T T"
Na 0.000 0.000 0.000
Na 2.376 4.295 3.379
Na 2.376 0.000 3.379
Na 2.376 -4.295 3.379
Pu 3.585 2.000 0.000
Pu 3.585 -2.000 0.000
Se 1.257 2.193 1.579
Se 1.257 -2.193 1.579
Se 3.495 2.193 5.180
Se 3.495 -2.193 5.180
S 0.163 0.000 5.259
S 4.589 0.000 1.500
```

Calculated values
- crystal system = monoclinic
- total DFT energy (no corrections) (eV/atom) = -5.976

=====

The following is a DFT calculation (PBE) of a relaxed NaPuSc crystal.

Structure (extended XYZ):
```
3
Lattice="0.000 3.661 3.661 3.661 0.000 3.661 3.661 3.661 0.000" Properties=species:S:1:pos:R:3 pbc="T T T"
Na 0.000 0.000 0.000
Pu 3.661 3.661 3.661
Sc 1.830 1.830 1.830
```

Calculated values
- energy relative to the lowest polymorph listed for this composition (meV per atom) = 0
- crystal system = cubic

=====

The following is a DFT calculation (PBE) of a relaxed Na2PuSe3 crystal.

Structure (extended XYZ):
```
12
Lattice="7.314 0.000 0.000 0.000 4.170 0.000 -0.206 0.000 10.199" Properties=species:S:1:pos:R:3 pbc="T T T"
Na 0.547 1.042 1.714
Na 1.641 3.127 5.053
Na 5.466 1.042 5.146
Na 6.560 3.127 8.485
Pu 2.846 1.042 8.424
Pu 4.261 3.127 1.775
Se 0.589 1.042 6.923
Se 1.832 3.127 10.143
Se 3.082 1.042 3.253
Se 4.026 3.127 6.946
Se 5.275 1.042 0.056
Se 6.518 3.127 3.276
```

Calculated values
- crystal system = monoclinic
- total DFT energy (no corrections) (eV/atom) = -5.802

=====

The following is a DFT calculation (PBE) of a relaxed NaPuTlSe3 crystal.

Structure (extended XYZ):
```
12
Lattice="2.126 -7.377 0.000 2.126 7.377 0.000 0.000 0.000 11.671" Properties=species:S:1:pos:R:3 pbc="T T T"
Na 2.126 5.817 8.753
Na 2.126 -5.817 2.918
Pu 2.126 0.000 0.000
Pu 2.126 0.000 5.835
Tl 2.126 4.701 2.918
Tl 2.126 -4.701 8.753
Se 2.126 5.530 5.982
Se 2.126 5.530 11.523
Se 2.126 0.453 8.753
Se 2.126 -0.453 2.918
Se 2.126 -5.530 0.147
Se 2.126 -5.530 5.688
```

Calculated values
- crystal system = orthorhombic
- total DFT energy (no corrections) (eV/atom) = -5.705

=====

The following is a DFT calculation (PBE) of a relaxed NaPuTe crystal.

Structure (extended XYZ):
```
3
Lattice="0.000 3.648 3.648 3.648 0.000 3.648 3.648 3.648 0.000" Properties=species:S:1:pos:R:3 pbc="T T T"
Na 0.000 0.000 0.000
Pu 3.648 3.648 3.648
Te 1.824 1.824 1.824
```

Calculated values
- energy relative to the lowest polymorph listed for this composition (meV per atom) = 0
- crystal system = cubic

=====

The following is a DFT calculation (PBE) of a relaxed NaPuTe crystal.

Structure (extended XYZ):
```
3
Lattice="0.000 3.689 3.689 3.689 0.000 3.689 3.689 3.689 0.000" Properties=species:S:1:pos:R:3 pbc="T T T"
Na 0.000 0.000 0.000
Pu 1.845 1.845 1.845
Te 3.689 3.689 3.689
```

Calculated values
- energy relative to the lowest polymorph listed for this composition (meV per atom) = 235
- crystal system = cubic

=====

The following is a DFT calculation (PBE) of a relaxed NaPuTh crystal.

Structure (extended XYZ):
```
3
Lattice="0.000 3.633 3.633 3.633 0.000 3.633 3.633 3.633 0.000" Properties=species:S:1:pos:R:3 pbc="T T T"
Na 0.000 0.000 0.000
Pu 1.817 1.817 1.817
Th 3.633 3.633 3.633
```

Calculated values
- energy relative to the lowest polymorph listed for this composition (meV per atom) = 0
- crystal system = cubic

=====

The following is a DFT calculation (PBE) of a relaxed NaPuW crystal.

Structure (extended XYZ):
```
3
Lattice="0.000 3.292 3.292 3.292 0.000 3.292 3.292 3.292 0.000" Properties=species:S:1:pos:R:3 pbc="T T T"
Na 0.000 0.000 0.000
Pu 1.646 1.646 1.646
W 3.292 3.292 3.292
```

Calculated values
- energy relative to the lowest polymorph listed for this composition (meV per atom) = 272
- crystal system = cubic

=====

The following is a DFT calculation (PBE) of a relaxed NaPuW crystal.

Structure (extended XYZ):
```
3
Lattice="0.000 3.284 3.284 3.284 0.000 3.284 3.284 3.284 0.000" Properties=species:S:1:pos:R:3 pbc="T T T"
Na 0.000 0.000 0.000
Pu 3.284 3.284 3.284
W 1.642 1.642 1.642
```

Calculated values
- energy relative to the lowest polymorph listed for this composition (meV per atom) = 0
- crystal system = cubic

=====

The following is a DFT calculation (PBE) of a relaxed RbNaRe crystal.

Structure (extended XYZ):
```
3
Lattice="0.000 3.894 3.894 3.894 0.000 3.894 3.894 3.894 0.000" Properties=species:S:1:pos:R:3 pbc="T T T"
Rb 0.000 0.000 0.000
Na 5.840 5.840 5.840
Re 1.947 1.947 1.947
```

Calculated values
- energy relative to the lowest polymorph listed for this composition (meV per atom) = 207
- crystal system = cubic

=====

The following is a DFT calculation (PBE) of a relaxed RbNaRe crystal.

Structure (extended XYZ):
```
3
Lattice="0.000 3.908 3.908 3.908 0.000 3.908 3.908 3.908 0.000" Properties=species:S:1:pos:R:3 pbc="T T T"
Rb 0.000 0.000 0.000
Na 3.908 3.908 3.908
Re 5.862 5.862 5.862
```

Calculated values
- energy relative to the lowest polymorph listed for this composition (meV per atom) = 0
- crystal system = cubic

=====

The following is a DFT calculation (PBE) of a relaxed RbNaUS3 crystal.

Structure (extended XYZ):
```
12
Lattice="2.098 -7.402 0.000 2.098 7.402 0.000 0.000 0.000 10.923" Properties=species:S:1:pos:R:3 pbc="T T T"
Rb 2.098 4.169 8.193
Rb 2.098 -4.169 2.731
Na 2.098 6.457 2.731
Na 2.098 -6.457 8.193
U 2.098 0.000 0.000
U 2.098 0.000 5.462
S 2.098 5.662 0.250
S 2.098 5.662 5.212
S 2.098 0.626 2.731
S 2.098 -0.626 8.193
S 2.098 -5.662 5.712
S 2.098 -5.662 10.673
```

Calculated values
- crystal system = orthorhombic
- total DFT energy (no corrections) (eV/atom) = -5.580